1.
Er6SiO12 | the Alexandria database | PBE | relaxed; SG = R-3
1.0
6.3273 -0.0057 -0.0069
-0.9649 6.2533 -0.0069
-0.9649 -1.1242 6.1514
Er Si O
6 1 12
Direct
0.7045 0.8621 0.3914
0.6086 0.2955 0.1379
0.1379 0.6086 0.2955
0.2955 0.1379 0.6086
0.3914 0.7045 0.8621
0.8621 0.3914 0.7045
0.0000 0.0000 0.0000
0.8227 0.5595 0.4090
0.4090 0.8227 0.5595
0.5595 0.4090 0.8227
0.1773 0.4405 0.5910
0.5910 0.1773 0.4405
0.4405 0.5910 0.1773
0.0666 0.9684 0.2860
0.0316 0.7140 0.9334
0.7140 0.9334 0.0316
0.9334 0.0316 0.7140
0.9684 0.2860 0.0666
0.2860 0.0666 0.9684


2.
In3HRu | the Alexandria database | PBE | relaxed; SG = Pm-3m
1.0
4.3898 0.0000 0.0000
0.0000 4.3898 0.0000
0.0000 0.0000 4.3898
Ru H In
1 1 3
Direct
0.5000 0.5000 0.5000
0.0000 0.0000 0.0000
0.0000 0.5000 0.0000
0.0000 0.0000 0.5000
0.5000 0.0000 0.0000


DOS(E_F) for every record listed, in sequence, given in states/eV/cell: 11.77, 1.28.
Total DFT energy (no corrections) for every record listed, in sequence, given in eV per atom: -8.056, -3.691.